1.
Entry from Alexandria via LeMat-Bulk: crystalline LiFe2PdN at its relaxed geometry (GGA-PBE).

Summary:
mass density = 6.95 g cm⁻³
distance to the lowest polymorph of the same formula = 0.0000 eV/atom
formation energy (no corrections) = -0.2017 eV per atom

```
LiFe2PdN
1.0
-2.9307 -0.1663 -2.3505
1.9736 -2.2228 -2.3034
-1.3823 -3.2517 1.9536
Li Fe Pd N
1 2 1 1
Direct
0.0000 0.0000 0.5000
0.0000 0.5000 0.0000
0.5000 0.0000 0.0000
0.5000 0.5000 0.5000
0.0000 0.0000 0.0000
```

=====

2.
Entry from Alexandria via LeMat-Bulk: crystalline LiFe2PdN at its relaxed geometry (GGA-PBE).

Summary:
mass density = 6.60 g cm⁻³
distance to the lowest polymorph of the same formula = 0.1260 eV/atom
formation energy (no corrections) = -0.0757 eV per atom

```
LiFe2PdN
1.0
-0.7633 2.6297 -2.5316
-3.4852 -1.2939 -0.2933
-1.2592 2.6757 3.1591
Li Fe Pd N
1 2 1 1
Direct
0.5000 0.5000 0.5000
0.0000 0.5000 0.0000
0.5000 0.0000 0.0000
0.0000 0.0000 0.5000
0.0000 0.0000 0.0000
```

=====

3.
Entry from Alexandria via LeMat-Bulk: crystalline Li2FePdN at its relaxed geometry (GGA-PBE).

Summary:
mass density = 5.57 g cm⁻³
formation energy (no corrections) = -0.2690 eV per atom

```
Li2FePdN
1.0
-1.5060 -3.6767 -0.4449
-0.0246 -0.4703 3.9702
-3.2881 1.3302 0.1372
Li Fe Pd N
2 1 1 1
Direct
0.0000 0.5000 0.0000
0.5000 0.0000 0.0000
0.0000 0.0000 0.5000
0.5000 0.5000 0.5000
0.0000 0.0000 0.0000
```

=====

4.
Entry from Alexandria via LeMat-Bulk: crystalline LiFe2PtN at its relaxed geometry (GGA-PBE).

Summary:
mass density = 10.16 g cm⁻³
formation energy (no corrections) = -0.1927 eV per atom

```
LiFe2PtN
1.0
3.6555 0.0000 0.0000
0.0000 3.6555 0.0000
0.0000 0.0000 4.0073
Li Fe Pt N
1 2 1 1
Direct
0.0000 0.0000 0.5000
0.0000 0.5000 0.0000
0.5000 0.0000 0.0000
0.5000 0.5000 0.5000
0.0000 0.0000 0.0000
```

=====

5.
Entry from Alexandria via LeMat-Bulk: crystalline Li2FePtN at its relaxed geometry (GGA-PBE).

Summary:
mass density = 4.69 g cm⁻³
distance to the lowest polymorph of the same formula = 1.7244 eV/atom
formation energy (no corrections) = 1.4572 eV per atom

```
Li2FePtN
1.0
-3.5942 1.6288 -2.4373
-2.1912 -3.9887 0.5657
-1.9190 1.6079 3.9043
Li Fe Pt N
2 1 1 1
Direct
0.0000 0.0000 0.5000
0.5000 0.0000 0.0000
0.0000 0.5000 0.0000
0.0000 0.0000 0.0000
0.5000 0.5000 0.5000
```

=====

6.
Entry from Alexandria via LeMat-Bulk: crystalline Li2FePtN at its relaxed geometry (GGA-PBE).

Summary:
mass density = 8.33 g cm⁻³
distance to the lowest polymorph of the same formula = 0.0000 eV/atom
formation energy (no corrections) = -0.2672 eV per atom

```
Li2FePtN
1.0
-0.5703 0.5609 -3.8810
2.9094 -2.5689 -0.7988
-2.3478 -2.6473 -0.0376
Li Fe Pt N
2 1 1 1
Direct
0.0000 0.5000 0.0000
0.5000 0.0000 0.0000
0.0000 0.0000 0.5000
0.5000 0.5000 0.5000
0.0000 0.0000 0.0000
```

=====

7.
Entry from Alexandria via LeMat-Bulk: crystalline Li3Pu2FeN6 at its relaxed geometry (GGA-PBE).

Summary:
mass density = 7.74 g cm⁻³
formation energy (no corrections) = -0.5623 eV per atom

```
Li3Pu2FeN6
1.0
5.8332 -0.3128 0.1665
-3.1862 4.8962 0.1665
-0.7269 -1.2587 4.9575
Li Pu Fe N
3 2 1 6
Direct
0.1312 0.8688 0.5000
0.8688 0.1312 0.5000
0.5000 0.5000 0.5000
0.3395 0.6605 0.0000
0.6605 0.3395 0.0000
0.0000 0.0000 0.0000
0.9154 0.6007 0.7839
0.7456 0.7456 0.2147
0.0846 0.3993 0.2161
0.6007 0.9154 0.7839
0.2544 0.2544 0.7853
0.3993 0.0846 0.2161
```

=====

8.
Entry from Alexandria via LeMat-Bulk: crystalline LiPuFeN3 at its relaxed geometry (GGA-PBE).

Summary:
mass density = 7.22 g cm⁻³
formation energy (no corrections) = -0.5394 eV per atom

```
LiPuFeN3
1.0
-0.9152 3.1991 0.0168
-5.4849 -1.5563 -2.4364
-2.4741 -0.7465 7.3560
Li Pu Fe N
2 2 2 6
Direct
0.2500 0.1342 0.1150
0.7500 0.8658 0.8850
0.2500 0.6356 0.1704
0.7500 0.3644 0.8296
0.2500 0.0537 0.6043
0.7500 0.9463 0.3957
0.7500 0.8753 0.1609
0.2500 0.1247 0.8391
0.2500 0.8248 0.4431
0.7500 0.1752 0.5569
0.7500 0.4093 0.1175
0.2500 0.5907 0.8825
```

=====

9.
Entry from Alexandria via LeMat-Bulk: crystalline RbLiFeN2 at its relaxed geometry (GGA-PBE).

Summary:
mass density = 4.52 g cm⁻³
formation energy (no corrections) = 0.5486 eV per atom

```
RbLiFeN2
1.0
-1.2136 -1.1574 3.3462
-2.8531 -2.9849 -2.0672
2.6811 -2.6108 0.0693
Li Fe Rb N
1 1 1 2
Direct
0.0000 0.5000 0.0000
0.0000 0.0000 0.0000
0.5000 0.5000 0.5000
0.0000 0.0000 0.5000
0.5000 0.0000 0.0000
```

=====

10.
Entry from Alexandria via LeMat-Bulk: crystalline LiFeRh2N at its relaxed geometry (GGA-PBE).

Summary:
mass density = 7.58 g cm⁻³
formation energy (no corrections) = -0.0550 eV per atom

```
LiFeRh2N
1.0
-3.9872 -0.6041 -0.5859
0.8413 -2.7926 -2.8460
0.0187 -2.6572 2.6128
Li Rh Fe N
1 2 1 1
Direct
0.5000 0.5000 0.5000
0.0000 0.5000 0.0000
0.5000 0.0000 0.0000
0.0000 0.0000 0.5000
0.0000 0.0000 0.0000
```

=====

11.
Entry from Alexandria via LeMat-Bulk: crystalline LiFe2RhN at its relaxed geometry (GGA-PBE).

Summary:
mass density = 6.79 g cm⁻³
distance to the lowest polymorph of the same formula = 0.0000 eV/atom
formation energy (no corrections) = -0.0668 eV per atom

```
LiFe2RhN
1.0
3.7365 0.0000 0.0000
0.0000 3.7365 0.0000
0.0000 0.0000 4.1245
Li Rh Fe N
1 1 2 1
Direct
0.5000 0.5000 0.5000
0.0000 0.0000 0.5000
0.0000 0.5000 0.0000
0.5000 0.0000 0.0000
0.0000 0.0000 0.0000
```

=====

12.
Entry from Alexandria via LeMat-Bulk: crystalline LiFe2RhN at its relaxed geometry (GGA-PBE).

Summary:
mass density = 7.40 g cm⁻³
distance to the lowest polymorph of the same formula = 0.0119 eV/atom
formation energy (no corrections) = -0.0549 eV per atom

```
LiFe2RhN
1.0
3.6472 0.0000 0.0000
0.0000 3.6472 0.0000
0.0000 0.0000 3.9748
Li Rh Fe N
1 1 2 1
Direct
0.0000 0.0000 0.5000
0.5000 0.5000 0.5000
0.0000 0.5000 0.0000
0.5000 0.0000 0.0000
0.0000 0.0000 0.0000
```

=====

13.
Entry from Alexandria via LeMat-Bulk: crystalline Li2FeRuN at its relaxed geometry (GGA-PBE).

Summary:
mass density = 5.63 g cm⁻³
formation energy (no corrections) = 0.1909 eV per atom

```
Li2FeRuN
1.0
-1.5008 0.7928 3.5417
-2.2835 -2.6744 -0.3690
2.5960 -2.4438 1.6471
Ru Li Fe N
1 2 1 1
Direct
0.5000 0.5000 0.5000
0.0000 0.0000 0.5000
0.5000 0.0000 0.0000
0.0000 0.5000 0.0000
0.0000 0.0000 0.0000
```

=====

14.
Entry from Alexandria via LeMat-Bulk: crystalline LiFeS2N at its relaxed geometry (GGA-PBE).

Summary:
mass density = 3.09 g cm⁻³
distance to the lowest polymorph of the same formula = 0.0000 eV/atom
formation energy (no corrections) = 0.0634 eV per atom

```
LiFeS2N
1.0
-2.6865 -3.4330 -1.8001
2.7902 -3.2329 2.0015
-1.9429 0.0542 2.7961
S Li Fe N
2 1 1 1
Direct
0.0000 0.5000 0.0000
0.5000 0.0000 0.0000
0.5000 0.5000 0.5000
0.0000 0.0000 0.0000
0.0000 0.0000 0.5000
```

=====

15.
Entry from Alexandria via LeMat-Bulk: crystalline LiFeSN2 at its relaxed geometry (GGA-PBE).

Summary:
mass density = 3.23 g cm⁻³
formation energy (no corrections) = 0.3880 eV per atom

```
LiFeSN2
1.0
3.5298 0.0000 0.0000
0.0000 3.5298 0.0000
0.0000 0.0000 5.0692
S Li Fe N
1 1 1 2
Direct
0.0000 0.0000 0.5000
0.5000 0.5000 0.5000
0.0000 0.0000 0.0000
0.0000 0.5000 0.0000
0.5000 0.0000 0.0000
```

=====

16.
Entry from Alexandria via LeMat-Bulk: crystalline LiFeS2N at its relaxed geometry (GGA-PBE).

Summary:
mass density = 3.67 g cm⁻³
distance to the lowest polymorph of the same formula = 1.0824 eV/atom
formation energy (no corrections) = 1.1458 eV per atom

```
LiFeS2N
1.0
4.3516 0.0000 0.0000
0.0000 4.3516 0.0000
0.0000 0.0000 3.3709
S Li Fe N
2 1 1 1
Direct
0.0000 0.5000 0.0000
0.5000 0.0000 0.0000
0.0000 0.0000 0.0000
0.5000 0.5000 0.5000
0.0000 0.0000 0.5000
```

=====

17.
Entry from Alexandria via LeMat-Bulk: crystalline LiFeSeN2 at its relaxed geometry (GGA-PBE).

Summary:
mass density = 4.21 g cm⁻³
distance to the lowest polymorph of the same formula = 0.0000 eV/atom
formation energy (no corrections) = 0.3873 eV per atom

```
LiFeSeN2
1.0
-0.8927 -3.2796 -1.0526
3.2071 -0.3948 -1.4899
1.8674 -1.9657 4.5407
Li Fe Se N
1 1 1 2
Direct
0.5000 0.5000 0.5000
0.0000 0.0000 0.0000
0.0000 0.0000 0.5000
0.0000 0.5000 0.0000
0.5000 0.0000 0.0000
```

=====

18.
Entry from Alexandria via LeMat-Bulk: crystalline LiFeSeN2 at its relaxed geometry (GGA-PBE).

Summary:
mass density = 4.90 g cm⁻³
distance to the lowest polymorph of the same formula = 1.4389 eV/atom
formation energy (no corrections) = 1.8262 eV per atom

```
LiFeSeN2
1.0
-3.1881 -1.0258 -1.2042
-0.3909 -2.1144 2.8360
-1.9555 3.4097 2.2726
Li Fe Se N
1 1 1 2
Direct
0.0000 0.0000 0.0000
0.5000 0.5000 0.5000
0.0000 0.0000 0.5000
0.0000 0.5000 0.0000
0.5000 0.0000 0.0000
```

=====

19.
Entry from Alexandria via LeMat-Bulk: crystalline Sr2LiFe2N3 at its relaxed geometry (GGA-PBE).

Summary:
mass density = 4.64 g cm⁻³
formation energy (no corrections) = -0.5289 eV per atom

```
Sr2LiFe2N3
1.0
6.5050 -0.0021 -0.0037
-3.2245 5.6495 -0.0037
0.1219 0.2099 6.5402
Sr Li Fe N
4 2 4 6
Direct
0.8221 0.6812 0.9011
0.3188 0.1779 0.5989
0.1779 0.3188 0.0989
0.6812 0.8221 0.4011
0.8072 0.1928 0.7500
0.1928 0.8072 0.2500
0.5716 0.1638 0.1033
0.4284 0.8362 0.8967
0.8362 0.4284 0.3967
0.1638 0.5716 0.6033
0.4106 0.5894 0.7500
0.5894 0.4106 0.2500
0.0002 0.7193 0.5154
0.7193 0.0002 0.0154
0.9998 0.2807 0.4846
0.2807 0.9998 0.9846
```

=====

20.
Entry from Alexandria via LeMat-Bulk: crystalline LiTaFeN2 at its relaxed geometry (GGA-PBE).

Summary:
mass density = 5.36 g cm⁻³
formation energy (no corrections) = 0.6585 eV per atom

```
LiTaFeN2
1.0
-3.7529 0.8838 -1.2512
1.2783 -1.3332 -4.7761
-1.1500 -3.8126 0.7564
N Li Fe Ta
2 1 1 1
Direct
0.0000 0.0000 0.5000
0.5000 0.0000 0.0000
0.5000 0.5000 0.5000
0.0000 0.5000 0.0000
0.0000 0.0000 0.0000
```

=====

21.
Entry from Alexandria via LeMat-Bulk: crystalline LiFeTeN2 at its relaxed geometry (GGA-PBE).

Summary:
mass density = 5.20 g cm⁻³
distance to the lowest polymorph of the same formula = 1.2260 eV/atom
formation energy (no corrections) = 1.7516 eV per atom

```
LiFeTeN2
1.0
3.7790 0.0000 0.0000
0.0000 3.7790 0.0000
0.0000 0.0000 4.8813
Te Li Fe N
1 1 1 2
Direct
0.0000 0.0000 0.5000
0.0000 0.0000 0.0000
0.5000 0.5000 0.5000
0.0000 0.5000 0.0000
0.5000 0.0000 0.0000
```

=====

22.
Entry from Alexandria via LeMat-Bulk: crystalline LiFeTeN2 at its relaxed geometry (GGA-PBE).

Summary:
mass density = 4.95 g cm⁻³
distance to the lowest polymorph of the same formula = 0.0000 eV/atom
formation energy (no corrections) = 0.5256 eV per atom

```
LiFeTeN2
1.0
-1.6759 0.0494 3.2198
1.3589 -3.2798 0.7577
4.4672 2.3797 2.2887
Te Li Fe N
1 1 1 2
Direct
0.0000 0.0000 0.5000
0.5000 0.5000 0.5000
0.0000 0.0000 0.0000
0.0000 0.5000 0.0000
0.5000 0.0000 0.0000
```

=====

23.
Entry from Alexandria via LeMat-Bulk: crystalline LiTh2Fe2N6 at its relaxed geometry (GGA-PBE).

Summary:
mass density = 7.72 g cm⁻³
formation energy (no corrections) = -0.4270 eV per atom

```
LiTh2Fe2N6
1.0
-4.7505 0.1869 -2.4578
-0.7542 -2.6764 -4.5728
-3.5684 -5.4636 0.6545
Li Th Fe N
1 2 2 6
Direct
0.0000 0.0000 0.0000
0.7833 0.7833 0.6501
0.2167 0.2167 0.3499
0.3985 0.3985 0.8044
0.6015 0.6015 0.1956
0.7382 0.7382 0.2950
0.2285 0.7382 0.2950
0.7382 0.2285 0.2950
0.2618 0.7715 0.7050
0.7715 0.2618 0.7050
0.2618 0.2618 0.7050
```

=====

24.
Entry from Alexandria via LeMat-Bulk: crystalline Li2TlFeN at its relaxed geometry (GGA-PBE).

Summary:
mass density = 7.18 g cm⁻³
formation energy (no corrections) = -0.2055 eV per atom

```
Li2TlFeN
1.0
4.3304 0.0000 0.0000
0.0000 4.3304 0.0000
0.0000 0.0000 3.5516
Tl Li Fe N
1 2 1 1
Direct
0.5000 0.5000 0.5000
0.0000 0.5000 0.0000
0.5000 0.0000 0.0000
0.0000 0.0000 0.5000
0.0000 0.0000 0.0000
```

=====

25.
Entry from Alexandria via LeMat-Bulk: crystalline Li3U2FeN6 at its relaxed geometry (GGA-PBE).

Summary:
mass density = 8.34 g cm⁻³
formation energy (no corrections) = -0.8038 eV per atom

```
Li3U2FeN6
1.0
-0.7583 2.3692 -2.2088
-2.4528 -3.9793 -3.4262
-5.1279 0.2023 4.4827
Li U Fe N
3 2 1 6
Direct
0.5000 0.5000 0.0000
0.8767 0.2502 0.7533
0.1233 0.7498 0.2467
0.8224 0.7451 0.6447
0.1776 0.2549 0.3553
0.5000 0.0000 0.0000
0.3442 0.9941 0.6883
0.6689 0.5065 0.3378
0.6558 0.0059 0.3117
0.0188 0.2172 0.0376
0.9812 0.7828 0.9624
0.3311 0.4935 0.6622
```

=====

26.
Entry from Alexandria via LeMat-Bulk: crystalline LiFeWN3 at its relaxed geometry (GGA-PBE).

Summary:
mass density = 6.63 g cm⁻³
formation energy (no corrections) = -0.2647 eV per atom

```
LiFeWN3
1.0
3.0017 0.0000 0.0000
0.0000 5.9677 -0.5312
0.0000 -2.2685 8.2740
Li Fe W N
2 2 2 6
Direct
0.2500 0.1831 0.1333
0.7500 0.8169 0.8667
0.2500 0.0350 0.6153
0.7500 0.9650 0.3847
0.2500 0.6880 0.1440
0.7500 0.3120 0.8560
0.7500 0.9256 0.1519
0.2500 0.0744 0.8481
0.2500 0.7979 0.4058
0.7500 0.2021 0.5942
0.7500 0.4301 0.1139
0.2500 0.5699 0.8861
```